# 1
Material: ReBr
Method: DFT, PBE
State: relaxed

abc: 5.5943 5.5943 5.5943
angles: 90.00 90.00 90.00
Closest atoms and distances in Å follow each position.
Space group F-43m (No. 216)
Symmetry-distinct sites (fractional):
1 Re 0.0000 0.0000 0.0000  4 Br 2.42
2 Br 0.2500 0.2500 0.2500  4 Re 2.42

Calculated values
- E_form (uncorrected) (meV/atom) = 1935
- energy above the lowest structure with this stoichiometry (meV/atom) = 1703
- crystal system = cubic

# 2
Material: Sm2CdRe
Method: DFT, PBE
State: relaxed

abc: 3.1134 3.1134 34.4147
angles: 90.00 90.00 120.00
Closest atoms and distances in Å follow each position.
Space group R-3m (No. 166, hexagonal axes)
Symmetry-distinct sites (fractional):
1 Sm 0.0000 0.0000 0.0813  1 Re 2.80, 6 Sm 3.11
2 Cd 0.0000 0.0000 0.5000  6 Cd 3.11, 6 Sm 3.44
3 Re 0.0000 0.0000 0.0000  2 Sm 2.80, 6 Re 3.11

Calculated values
- formation enthalpy at 0 K (eV per atom) = 0.738
- energy above the lowest structure with this stoichiometry (meV/atom) = 703
- crystal system = trigonal

# 3
Material: PAu3C
Method: DFT, PBE
State: relaxed

abc: 4.3633 4.3633 4.3633
angles: 90.00 90.00 90.00
Closest atoms and distances in Å follow each position.
Space group Pm-3m (No. 221)
Symmetry-distinct sites (fractional):
1 P 0.0000 0.0000 0.0000  12 Au 3.09
2 Au 0.0000 0.5000 0.5000  2 C 2.18
3 C 0.5000 0.5000 0.5000  6 Au 2.18

Calculated values
- formation enthalpy at 0 K (eV per atom) = 1.089
- energy above the lowest structure with this stoichiometry (meV/atom) = 0
- crystal system = cubic

| no. | calculated density (kg/m³) | VASP energy (eV per atom) | magnetization (μB/cell) |
| --- | --- | --- | --- |
| 1 | 10096 | -5.126 | 0.00 |
| 2 | 10335 | -4.963 | 0.01 |
| 3 | 12671 | -3.804 | 0.00 |